This record from Alexandria describes a relaxed structure of CuHgH2. The functional is PBE.

The structure in CIF format:
```
data_CuHgH2
_space_group_name_H-M_alt 'I -4 2 d'
_space_group_IT_number 122
_space_group_name_Hall 'I -4 2bw'
_cell_length_a 4.943
_cell_length_b 4.943
_cell_length_c 8.137
_cell_angle_alpha 90.00
_cell_angle_beta 90.00
_cell_angle_gamma 90.00
loop_
_atom_site_label
_atom_site_type_symbol
_atom_site_fract_x
_atom_site_fract_y
_atom_site_fract_z
_atom_site_occupancy
Cu1 Cu 0.000 0.000 0.000 1
Hg1 Hg 0.000 0.000 0.500 1
H1 H 0.074 0.750 0.125 1
```

Properties
**E above lowest polymorph**: 0 meV per atom
**D(E_F)**: 0.29 states/eV/atom
**Final energy**: -2.399 eV per atom
**V**: 198.83 Å³ per cell
**Total moment**: 0.00 μB/f.u.

***

This record from Alexandria describes a relaxed structure of CaLu3. The functional is PBE.

The structure in CIF format:
```
data_CaLu3
_space_group_name_H-M_alt 'P m m 2'
_space_group_IT_number 25
_space_group_name_Hall 'P 2 -2'
_cell_length_a 3.547
_cell_length_b 5.725
_cell_length_c 6.239
_cell_angle_alpha 90.00
_cell_angle_beta 90.00
_cell_angle_gamma 90.00
loop_
_atom_site_label
_atom_site_type_symbol
_atom_site_fract_x
_atom_site_fract_y
_atom_site_fract_z
_atom_site_occupancy
Ca1 Ca 0.000 0.000 0.000 1
Lu1 Lu 0.000 0.500 0.661 1
Lu2 Lu 0.500 0.000 0.500 1
Lu3 Lu 0.500 0.500 0.180 1
```

Properties
**ΔH_f (0 K)**: 0.119 eV/atom
**D(E_F)**: 1.54 states/eV/atom
**Final energy**: -3.772 eV per atom
**V**: 126.70 Å³ per cell
**Total moment**: 1.63 μB/f.u.

***

This record from Alexandria describes a relaxed structure of PrBeI. The functional is PBE.

The structure in CIF format:
```
data_PrBeI
_space_group_name_H-M_alt 'C m c m'
_space_group_IT_number 63
_space_group_name_Hall '-C 2c 2'
_cell_length_a 4.112
_cell_length_b 24.342
_cell_length_c 4.107
_cell_angle_alpha 90.00
_cell_angle_beta 90.00
_cell_angle_gamma 90.00
loop_
_atom_site_label
_atom_site_type_symbol
_atom_site_fract_x
_atom_site_fract_y
_atom_site_fract_z
_atom_site_occupancy
Pr1 Pr 0.000 0.074 0.250 1
Be1 Be 0.000 0.488 0.250 1
I1 I 0.000 0.171 0.750 1
```

Properties
**D(E_F)**: 0.64 states/eV/atom
**Final energy**: -3.751 eV per atom
**V**: 411.08 Å³ per cell
**Total moment**: 0.00 μB/f.u.
**ΔE_f (raw)**: -399 meV per atom

***

Repeat the second record exactly.
This record from Alexandria describes a relaxed structure of CaLu3. The functional is PBE.

The structure in CIF format:
```
data_CaLu3
_space_group_name_H-M_alt 'P m m 2'
_space_group_IT_number 25
_space_group_name_Hall 'P 2 -2'
_cell_length_a 3.547
_cell_length_b 5.725
_cell_length_c 6.239
_cell_angle_alpha 90.00
_cell_angle_beta 90.00
_cell_angle_gamma 90.00
loop_
_atom_site_label
_atom_site_type_symbol
_atom_site_fract_x
_atom_site_fract_y
_atom_site_fract_z
_atom_site_occupancy
Ca1 Ca 0.000 0.000 0.000 1
Lu1 Lu 0.000 0.500 0.661 1
Lu2 Lu 0.500 0.000 0.500 1
Lu3 Lu 0.500 0.500 0.180 1
```

Properties
**ΔH_f (0 K)**: 0.119 eV/atom
**D(E_F)**: 1.54 states/eV/atom
**Final energy**: -3.772 eV per atom
**V**: 126.70 Å³ per cell
**Total moment**: 1.63 μB/f.u.

***

Please write out number 2 again, unchanged.
This record from Alexandria describes a relaxed structure of CaLu3. The functional is PBE.

The structure in CIF format:
```
data_CaLu3
_space_group_name_H-M_alt 'P m m 2'
_space_group_IT_number 25
_space_group_name_Hall 'P 2 -2'
_cell_length_a 3.547
_cell_length_b 5.725
_cell_length_c 6.239
_cell_angle_alpha 90.00
_cell_angle_beta 90.00
_cell_angle_gamma 90.00
loop_
_atom_site_label
_atom_site_type_symbol
_atom_site_fract_x
_atom_site_fract_y
_atom_site_fract_z
_atom_site_occupancy
Ca1 Ca 0.000 0.000 0.000 1
Lu1 Lu 0.000 0.500 0.661 1
Lu2 Lu 0.500 0.000 0.500 1
Lu3 Lu 0.500 0.500 0.180 1
```

Properties
**ΔH_f (0 K)**: 0.119 eV/atom
**D(E_F)**: 1.54 states/eV/atom
**Final energy**: -3.772 eV per atom
**V**: 126.70 Å³ per cell
**Total moment**: 1.63 μB/f.u.

***

The highest final energy belongs to which entry? CuHgH2

***

Which formula does entry 2 have? CaLu3